Entry from the Alexandria database: crystalline YTmSn2 at its relaxed geometry (GGA-PBE).

Output
formation energy	-0.5995	eV per atom
N(E_F)	4.34	states/eV/f.u.

The structure in CIF format:
```
data_YTmSn2
_symmetry_space_group_name_H-M 'P 1'
_symmetry_Int_Tables_number 1
_symmetry_space_group_name_Hall 'P 1'
_cell_length_a 4.8960
_cell_length_b 4.8960
_cell_length_c 4.3684
_cell_angle_alpha 90.00
_cell_angle_beta 90.00
_cell_angle_gamma 90.00
loop_
_atom_site_label
_atom_site_type_symbol
_atom_site_fract_x
_atom_site_fract_y
_atom_site_fract_z
Y1 Y 0.0000 0.0000 0.0000
Tm1 Tm 0.5000 0.5000 0.0000
Sn1 Sn 0.0000 0.5000 0.5000
Sn2 Sn 0.5000 0.0000 0.5000
```

Entry from the Alexandria database: crystalline YTm8Sn2 at its relaxed geometry (GGA-PBE).

Output
formation energy	-0.1314	eV per atom
N(E_F)	16.36	states/eV/f.u.

The structure in CIF format:
```
data_YTm8Sn2
_symmetry_space_group_name_H-M 'P 1'
_symmetry_Int_Tables_number 1
_symmetry_space_group_name_Hall 'P 1'
_cell_length_a 8.5714
_cell_length_b 8.5714
_cell_length_c 5.6731
_cell_angle_alpha 102.49
_cell_angle_beta 102.49
_cell_angle_gamma 119.23
loop_
_atom_site_label
_atom_site_type_symbol
_atom_site_fract_x
_atom_site_fract_y
_atom_site_fract_z
Y1 Y 0.0000 0.0000 0.0000
Tm1 Tm 0.0944 0.3234 0.6171
Tm2 Tm 0.2206 0.7794 0.0000
Tm3 Tm 0.3234 0.0944 0.6171
Tm4 Tm 0.4077 0.4077 0.2014
Tm5 Tm 0.5923 0.5923 0.7986
Tm6 Tm 0.6766 0.9056 0.3829
Tm7 Tm 0.7794 0.2206 0.0000
Tm8 Tm 0.9056 0.6766 0.3829
Sn1 Sn 0.3053 0.6947 0.5000
Sn2 Sn 0.6947 0.3053 0.5000
```

Entry from the Alexandria database: crystalline YTm7Sn4 at its relaxed geometry (GGA-PBE).

Output
formation energy	-0.1856	eV per atom
N(E_F)	13.68	states/eV/f.u.

The structure in CIF format:
```
data_YTm7Sn4
_symmetry_space_group_name_H-M 'P 1'
_symmetry_Int_Tables_number 1
_symmetry_space_group_name_Hall 'P 1'
_cell_length_a 7.3911
_cell_length_b 7.3911
_cell_length_c 10.8285
_cell_angle_alpha 121.32
_cell_angle_beta 121.32
_cell_angle_gamma 44.64
loop_
_atom_site_label
_atom_site_type_symbol
_atom_site_fract_x
_atom_site_fract_y
_atom_site_fract_z
Y1 Y 0.0000 0.0000 0.0000
Tm1 Tm 0.0608 0.0608 0.3765
Tm2 Tm 0.2134 0.2134 0.8855
Tm3 Tm 0.3236 0.3236 0.3980
Tm4 Tm 0.5000 0.5000 0.0000
Tm5 Tm 0.6764 0.6764 0.6020
Tm6 Tm 0.7866 0.7866 0.1145
Tm7 Tm 0.9392 0.9392 0.6235
Sn1 Sn 0.3026 0.3026 0.6746
Sn2 Sn 0.4292 0.4292 0.2259
Sn3 Sn 0.5708 0.5708 0.7741
Sn4 Sn 0.6974 0.6974 0.3254
```

Number 1: calculated density 7.85 g/cm³. Number 2: calculated density 8.47 g/cm³. Number 3: calculated density 8.43 g/cm³.